Material: GdY2V
Method: DFT, GGA-PBE
State: optimized geometry

Output
energy of formation = 1.4 eV per formula unit
magnetic moment = 10.1 μB per cell
density = 5.7 Mg/m³
space-group type = R-3m
VASP energy = -8.6772 eV per atom

CIF file:
```
data_GdY2V
_symmetry_space_group_name_H-M 'P 1'
_symmetry_Int_Tables_number 1
_cell_length_a 10.798
_cell_length_b 10.798
_cell_length_c 10.798
_cell_angle_alpha 18.59
_cell_angle_beta 18.59
_cell_angle_gamma 18.59
loop_
_symmetry_equiv_pos_as_xyz
'x,y,z'
loop_
_atom_site_label
_atom_site_fract_x
_atom_site_fract_y
_atom_site_fract_z
Gd1 0.000 0.000 0.000
Y1 0.237 0.237 0.237
Y2 0.763 0.763 0.763
V1 0.500 0.500 0.500
```

Material: Ba2PrCu2Se4
Method: DFT, GGA-PBE
State: optimized geometry

Output
magnetic moment = 0.0 μB per cell
density = 6.0 Mg/m³
space-group type = C2/m
formation energy from raw total energies = -1118 kJ/mol of formula units
VASP energy = -4.7046 eV per atom

CIF file:
```
data_Ba2PrCu2Se4
_symmetry_space_group_name_H-M 'P 1'
_symmetry_Int_Tables_number 1
_cell_length_a 8.130
_cell_length_b 8.130
_cell_length_c 7.724
_cell_angle_alpha 109.73
_cell_angle_beta 109.73
_cell_angle_gamma 29.93
loop_
_symmetry_equiv_pos_as_xyz
'x,y,z'
loop_
_atom_site_label
_atom_site_fract_x
_atom_site_fract_y
_atom_site_fract_z
Ba1 0.135 0.135 0.072
Ba2 0.865 0.865 0.928
Pr1 0.000 0.000 0.500
Cu1 0.317 0.317 0.508
Cu2 0.683 0.683 0.492
Se1 0.204 0.204 0.689
Se2 0.473 0.473 0.753
Se3 0.527 0.527 0.247
Se4 0.796 0.796 0.311
```